DFT (GGA-PBE) results for crystalline BaTi2CdGe at its relaxed geometry.

Summary:
* crystal system: tetragonal
* formation energy from the elements: 1.834 eV per atom

```
data_BaTi2CdGe
_symmetry_space_group_name_H-M 'P 4/m m m'
_symmetry_Int_Tables_number 123
_symmetry_space_group_name_Hall '-P 4 2'
_cell_length_a 5.070
_cell_length_b 5.070
_cell_length_c 5.873
_cell_angle_alpha 90.00
_cell_angle_beta 90.00
_cell_angle_gamma 90.00
loop_
_atom_site_label
_atom_site_type_symbol
_atom_site_fract_x
_atom_site_fract_y
_atom_site_fract_z
Ba1 Ba 0.000 0.000 0.000
Ti1 Ti 0.000 0.500 0.000
Cd1 Cd 0.000 0.000 0.500
Ge1 Ge 0.500 0.500 0.500
```